A relaxed structure of CsZnAu, computed with GGA-PBE.

Its total magnetic moment is 0.0 μB/f.u. The calculation puts the energy of formation from the pure elements at -223 meV per atom. For the energy relative to the lowest polymorph listed for this composition, the calculation gives 0 meV per atom.

The space group is P2_1/c (No. 14) and the conventional cell measures 7.4234, 8.1929 and 8.6202 Å, with angles of 90.00, 122.30 and 90.00 degrees. Symmetry generates all atoms from Cs at (0.1720, 0.0703, 0.3502), Zn at (0.4194, 0.5937, 0.5708) and Au at (0.4025, 0.6842, 0.2697).